[1]
AcScGaPt2 | PBE-GGA | relaxed

- Volume: 110.80 Å³ per cell
- Magnetic moment: 0.00 μB per cell
- Electronic total energy: -6.183 eV per atom
- Formation energy from the elements: -103.6 kJ per mole of atoms

Cell lengths 4.2433, 4.2433, 6.8463 Å; angles 108.05, 108.05, 90.00 degrees
Closest atoms and distances in Å follow each position.
Positions (direct):
Ac: 0.0000 0.0000 0.0000  8 Pt 3.31
Sc: 0.7500 0.2500 0.5000  4 Pt 2.70, 4 Ga 3.00
Ga: 0.2500 0.7500 0.5000  4 Pt 2.70, 4 Sc 3.00
Pt: 0.6138 0.6138 0.2276  2 Sc 2.70, 2 Ga 2.70, 1 Pt 2.80
Pt: 0.3862 0.3862 0.7724  2 Sc 2.70, 2 Ga 2.70, 1 Pt 2.80



[2]
AcScGa2Pt5 | PBE-GGA | relaxed

- Volume: 176.39 Å³ per cell
- Magnetic moment: 0.00 μB per cell
- Electronic total energy: -5.904 eV per atom
- Formation energy from the elements: -69.0 kJ per mole of atoms

Cell lengths 4.7657, 4.7657, 7.7666 Å; angles 90.00, 90.00, 90.00 degrees
Closest atoms and distances in Å follow each position.
Positions (direct):
Ac: 0.0000 0.0000 0.5000  12 Pt 3.19-3.37
Sc: 0.0000 0.0000 0.0000  8 Pt 2.97
Ga: 0.5000 0.5000 0.1620  5 Pt 2.44-2.63, 1 Ga 2.52
Ga: 0.5000 0.5000 0.8380  5 Pt 2.44-2.63, 1 Ga 2.52
Pt: 0.0000 0.5000 0.2272  2 Ga 2.44
Pt: 0.5000 0.0000 0.2272  2 Ga 2.44
Pt: 0.0000 0.5000 0.7728  2 Ga 2.44
Pt: 0.5000 0.0000 0.7728  2 Ga 2.44
Pt: 0.5000 0.5000 0.5000  2 Ga 2.63



[3]
AcScGa2Pt2 | PBE-GGA | relaxed

- Volume: 126.29 Å³ per cell
- Magnetic moment: 0.00 μB per cell
- Electronic total energy: -5.816 eV per atom
- Formation energy from the elements: -101.7 kJ per mole of atoms

Cell lengths 4.4848, 4.4848, 7.2500 Å; angles 90.00, 90.00, 120.00 degrees
Closest atoms and distances in Å follow each position.
Positions (direct):
Ac: 0.0000 0.0000 0.0000  6 Pt 3.39, 6 Ga 3.43, 2 Sc 3.63
Sc: 0.0000 0.0000 0.5000  6 Ga 2.93, 6 Pt 2.96
Ga: 0.6667 0.3333 0.6891  4 Pt 2.59-2.80
Ga: 0.3333 0.6667 0.3109  4 Pt 2.59-2.80
Pt: 0.6667 0.3333 0.3027  4 Ga 2.59-2.80
Pt: 0.3333 0.6667 0.6973  4 Ga 2.59-2.80



What is the formula in the first record?
AcScGaPt2